# Pa2Pd6Au GGA-PBE relaxed
# relative energy among the computed polymorphs = 91 meV per atom
data_Pa2Pd6Au
_chemical_formula_sum 'Pa4 Pd12 Au2'
_symmetry_space_group_name_H-M 'C 1 2/m 1'
_symmetry_Int_Tables_number 12
_cell_length_a 9.6403
_cell_length_b 5.5554
_cell_length_c 6.5597
_cell_angle_alpha 90.00
_cell_angle_beta 106.96
_cell_angle_gamma 90.00
loop_
_symmetry_equiv_pos_as_xyz
'x,y,z'
'-x,-y,-z'
'-x,y,-z'
'x,-y,z'
'x+1/2,y+1/2,z'
'-x+1/2,-y+1/2,-z'
'-x+1/2,y+1/2,-z'
'x+1/2,-y+1/2,z'
loop_
_atom_site_label
_atom_site_fract_x
_atom_site_fract_y
_atom_site_fract_z
Pa1 0.1565 0.0000 0.1582
Pd1 0.0872 0.2420 0.7099
Pd2 0.1980 0.5000 0.4112
Au1 0.0000 0.5000 0.0000